(1)
# CsCuMoSe2S

Crystalline CsCuMoSe2S at its relaxed geometry (GGA-PBE, OQMD).

Cell: 8.224 8.224 9.694 Å, 90.00 90.00 152.84°
Each line ends with the local moment (μB).
Element x y z (fractional)
1 Se 0.391 0.609 0.455  -0.01
2 S 0.946 0.054 0.750  -0.01
3 S 0.054 0.946 0.250  -0.01
4 Mo 0.000 0.000 0.500  1.78
5 Se 0.609 0.391 0.955  -0.01
6 Se 0.609 0.391 0.545  -0.01
7 Cu 0.526 0.474 0.750  0.00
8 Cs 0.257 0.743 0.750  0.00
9 Cs 0.743 0.257 0.250  0.00
10 Cu 0.474 0.526 0.250  0.00
11 Mo 0.000 0.000 0.000  1.78
12 Se 0.391 0.609 0.045  -0.01

Computed properties:
**Uncorrected energy**: -59.5 eV per cell
**Symmetry**: Cmcm (63)

---

(2)
# GaNi4C2S

Crystalline GaNi4C2S at its relaxed geometry (GGA-PBE, OQMD).

Cell: 3.031 3.031 11.086 Å, 90.00 90.00 120.00°
Element x y z (fractional)
1 C 0.333 0.667 0.256
2 Ni 0.000 0.000 0.656
3 Ga 0.000 0.000 0.000
4 S 0.667 0.333 0.500
5 Ni 0.667 0.333 0.172
6 Ni 0.000 0.000 0.344
7 C 0.333 0.667 0.744
8 Ni 0.667 0.333 0.828

Computed properties:
**Uncorrected energy**: -45.2 eV per cell
**Symmetry**: P-6m2 (187)

---

(3)
# TbY2Mg3AgAu2

Crystalline TbY2Mg3AgAu2 at its relaxed geometry (GGA-PBE, OQMD).

Cell: 4.014 7.731 7.731 Å, 119.87 90.00 90.00°
Element x y z (fractional)
1 Mg 0.500 0.250 0.250
2 Au 0.500 0.666 0.334
3 Mg 0.500 0.750 0.001
4 Y 0.000 0.413 0.000
5 Ag 0.000 0.999 0.999
6 Tb 0.000 0.586 0.586
7 Y 0.000 0.000 0.413
8 Mg 0.500 0.001 0.750
9 Au 0.500 0.334 0.666

Computed properties:
**Uncorrected energy**: -36.6 eV per cell
**Symmetry**: Amm2 (38)